Material: SmDy2In2Ag2
Method: DFT, PBE
State: relaxed

Summary:
As for the space group: R-3m, No. 166. The total magnetization is 0.000 μB/atom. The calculation puts the energy relative to the elements at -0.287 eV per atom. Its total energy is -3.87 eV per atom.

abc: 4.870 4.870 9.349
angles: 74.90 74.90 60.00
Fractional coordinates of all 7 atoms:
Sm 0.000 0.000 0.000
In 0.741 0.741 0.776
In 0.259 0.259 0.224
Dy 0.127 0.127 0.620
Dy 0.873 0.873 0.380
Ag 0.598 0.598 0.206
Ag 0.402 0.402 0.794